The following is a DFT calculation (PBE) of a relaxed structure of Na2CdGa2. Values from VASP.

```
&SYSTEM
  ibrav = 0, nat = 5, ntyp = 3
/
ATOMIC_SPECIES
Na 22.99 Na.upf
Cd 112.41 Cd.upf
Ga 69.72 Ga.upf
ATOMIC_POSITIONS angstrom
Na -1.045 0.000 2.274
Na 6.384 0.000 3.232
Cd 5.140 0.000 0.000
Ga 2.032 0.000 0.773
Ga 3.307 0.000 4.733
CELL_PARAMETERS angstrom
5.140 -2.051 0.000
5.140 2.051 0.000
-4.940 0.000 5.506
```

Calculated values
The value obtained for the magnetization is 0.0 Bohr magnetons per cell. The value obtained for the relative energy among the computed polymorphs is 10 meV/atom. As for the raw total energy: -9.80 eV/cell.

The following is a DFT calculation (PBE) of a relaxed structure of Na8Cd2Ga. Values from VASP.

```
&SYSTEM
  ibrav = 0, nat = 11, ntyp = 3
/
ATOMIC_SPECIES
Na 22.99 Na.upf
Cd 112.41 Cd.upf
Ga 69.72 Ga.upf
ATOMIC_POSITIONS angstrom
Na 0.480 1.698 3.148
Na 4.486 4.275 0.000
Na 0.480 -1.698 3.148
Na 2.938 0.000 0.972
Na 3.907 0.000 4.164
Na 6.365 1.698 1.988
Na 4.486 -4.275 0.000
Na 6.365 -1.698 1.988
Cd 3.423 2.785 2.568
Cd 3.423 -2.785 2.568
Ga 0.000 0.000 0.000
CELL_PARAMETERS angstrom
4.486 -7.414 0.000
4.486 7.414 0.000
-2.128 0.000 5.136
```

Calculated values
The value obtained for the magnetization is 0.0 Bohr magnetons per cell. As for the raw total energy: -15.19 eV/cell.

The following is a DFT calculation (PBE) of a relaxed structure of Na2CdGa10. Values from VASP.

```
&SYSTEM
  ibrav = 0, nat = 26, ntyp = 3
/
ATOMIC_SPECIES
Na 22.99 Na.upf
Cd 112.41 Cd.upf
Ga 69.72 Ga.upf
ATOMIC_POSITIONS angstrom
Na 1.094 1.456 0.000
Na 1.941 10.338 0.000
Na 4.128 7.427 0.000
Na 4.976 16.309 0.000
Cd 0.000 8.882 3.035
Cd 3.035 0.000 3.035
Ga 0.161 16.460 3.035
Ga 0.972 6.977 1.238
Ga 0.972 6.977 4.831
Ga 0.970 11.547 3.035
Ga 1.433 14.027 3.035
Ga 1.602 5.145 3.035
Ga 2.065 2.665 3.035
Ga 2.063 15.859 1.238
Ga 2.063 15.859 4.831
Ga 2.874 7.578 3.035
Ga 3.196 10.187 3.035
Ga 4.007 1.905 1.238
Ga 4.007 1.905 4.831
Ga 4.004 15.100 3.035
Ga 4.468 12.620 3.035
Ga 4.637 3.738 3.035
Ga 5.100 6.218 3.035
Ga 5.097 10.788 1.238
Ga 5.097 10.788 4.831
Ga 5.908 1.305 3.035
CELL_PARAMETERS angstrom
6.069 0.000 0.000
0.000 17.765 0.000
0.000 0.000 6.069
```

Calculated values
The value obtained for the magnetization is 0.0 Bohr magnetons per cell. As for the raw total energy: -66.61 eV/cell.

The following is a DFT calculation (PBE) of a relaxed structure of Na3CdGa8. Values from VASP.

```
&SYSTEM
  ibrav = 0, nat = 12, ntyp = 3
/
ATOMIC_SPECIES
Na 22.99 Na.upf
Cd 112.41 Cd.upf
Ga 69.72 Ga.upf
ATOMIC_POSITIONS angstrom
Na 0.000 0.000 0.000
Na 0.000 0.000 3.375
Na 0.000 0.000 13.646
Cd 0.000 0.000 17.083
Ga 0.000 -1.625 6.247
Ga -1.407 0.812 6.247
Ga -1.400 -0.808 10.768
Ga 0.000 0.000 8.537
Ga 1.400 -0.808 10.768
Ga 0.000 1.617 10.768
Ga 1.407 0.812 6.247
Ga 0.000 0.000 22.073
CELL_PARAMETERS angstrom
2.819 1.628 9.074
-2.819 1.628 9.074
0.000 -3.255 9.074
```

Calculated values
The value obtained for the magnetization is 0.0 Bohr magnetons per cell. As for the raw total energy: -30.07 eV/cell.

The following is a DFT calculation (PBE) of a relaxed structure of NaCdGa4. Values from VASP.

```
&SYSTEM
  ibrav = 0, nat = 6, ntyp = 3
/
ATOMIC_SPECIES
Na 22.99 Na.upf
Cd 112.41 Cd.upf
Ga 69.72 Ga.upf
ATOMIC_POSITIONS angstrom
Na 0.000 0.000 0.000
Cd 1.982 1.982 1.982
Ga 4.956 2.973 2.973
Ga 2.973 4.956 2.973
Ga 2.973 2.973 4.956
Ga 4.956 4.956 4.956
CELL_PARAMETERS angstrom
0.000 3.964 3.964
3.964 0.000 3.964
3.964 3.964 0.000
```

Calculated values
The value obtained for the magnetization is 0.0 Bohr magnetons per cell. As for the raw total energy: -14.66 eV/cell.

The following is a DFT calculation (PBE) of a relaxed structure of Na12Cd6Ga. Values from VASP.

```
&SYSTEM
  ibrav = 0, nat = 19, ntyp = 3
/
ATOMIC_SPECIES
Na 22.99 Na.upf
Cd 112.41 Cd.upf
Ga 69.72 Ga.upf
ATOMIC_POSITIONS angstrom
Na -5.091 1.114 6.140
Na -3.510 -3.852 8.459
Na -1.944 -0.340 4.601
Na 1.580 -4.966 6.140
Na 1.267 -1.513 4.601
Na 0.677 1.854 4.601
Na -0.677 -1.854 9.998
Na -1.267 1.513 9.998
Na -1.580 4.966 8.459
Na 1.944 0.340 9.998
Na 3.510 3.852 6.140
Na 5.091 -1.114 8.459
Cd -2.879 -0.709 7.792
Cd -0.826 -2.848 6.807
Cd -2.053 2.139 6.807
Cd 2.053 -2.139 7.792
Cd 0.826 2.848 7.792
Cd 2.879 0.709 6.807
Ga 0.000 0.000 7.299
CELL_PARAMETERS angstrom
5.634 3.253 4.866
-5.634 3.253 4.866
0.000 -6.506 4.866
```

Calculated values
The value obtained for the magnetization is 0.0 Bohr magnetons per cell. As for the raw total energy: -25.51 eV/cell.

The following is a DFT calculation (PBE) of a relaxed structure of Na4Cd5Ga2. Values from VASP.

```
&SYSTEM
  ibrav = 0, nat = 11, ntyp = 3
/
ATOMIC_SPECIES
Na 22.99 Na.upf
Cd 112.41 Cd.upf
Ga 69.72 Ga.upf
ATOMIC_POSITIONS angstrom
Na 0.860 0.000 4.036
Na 1.534 0.000 9.813
Na 5.448 0.000 0.548
Na 6.122 0.000 6.325
Cd 1.112 1.640 7.021
Cd 3.035 1.640 2.190
Cd 3.491 1.640 5.180
Cd 3.947 1.640 8.170
Cd 5.870 1.640 3.340
Ga 0.289 1.640 1.303
Ga 6.693 1.640 9.058
CELL_PARAMETERS angstrom
7.745 0.000 0.000
0.000 3.280 0.000
-0.763 0.000 10.361
```

Calculated values
The value obtained for the magnetization is 0.0 Bohr magnetons per cell. The value obtained for the relative energy among the computed polymorphs is 0 meV/atom. As for the raw total energy: -16.69 eV/cell.

The following is a DFT calculation (PBE) of a relaxed structure of Na3Cd2Ga2. Values from VASP.

```
&SYSTEM
  ibrav = 0, nat = 7, ntyp = 3
/
ATOMIC_SPECIES
Na 22.99 Na.upf
Cd 112.41 Cd.upf
Ga 69.72 Ga.upf
ATOMIC_POSITIONS angstrom
Na 0.000 0.000 0.000
Na -0.007 0.000 3.245
Na 5.608 0.000 4.830
Cd -0.031 0.000 6.582
Cd 5.632 0.000 1.494
Ga 2.808 0.000 1.676
Ga 2.793 0.000 6.399
CELL_PARAMETERS angstrom
4.225 -2.465 0.000
4.225 2.465 0.000
-2.850 0.000 8.075
```

Calculated values
The value obtained for the magnetization is 0.0 Bohr magnetons per cell. As for the raw total energy: -12.40 eV/cell.

The following is a DFT calculation (PBE) of a relaxed structure of Na3Cd2Ga4. Values from VASP.

```
&SYSTEM
  ibrav = 0, nat = 9, ntyp = 3
/
ATOMIC_SPECIES
Na 22.99 Na.upf
Cd 112.41 Cd.upf
Ga 69.72 Ga.upf
ATOMIC_POSITIONS angstrom
Na 0.000 0.000 0.000
Na -0.058 2.622 5.396
Na 2.304 0.433 3.281
Cd -0.053 2.690 2.200
Cd 2.299 0.365 6.478
Ga -0.062 -0.659 5.505
Ga -0.090 0.890 8.029
Ga 2.336 2.165 0.648
Ga 2.308 3.714 3.173
CELL_PARAMETERS angstrom
4.724 0.000 0.000
-2.342 5.396 0.000
-0.136 -2.341 8.678
```

Calculated values
The value obtained for the magnetization is 0.0 Bohr magnetons per cell. As for the raw total energy: -18.32 eV/cell.

The following is a DFT calculation (PBE) of a relaxed structure of NaCd2Ga2. Values from VASP.

```
&SYSTEM
  ibrav = 0, nat = 5, ntyp = 3
/
ATOMIC_SPECIES
Na 22.99 Na.upf
Cd 112.41 Cd.upf
Ga 69.72 Ga.upf
ATOMIC_POSITIONS angstrom
Na 0.000 0.000 0.000
Cd 2.276 0.000 2.864
Cd 0.000 2.276 2.864
Ga 0.000 0.000 4.489
Ga 0.000 0.000 6.967
CELL_PARAMETERS angstrom
-2.276 2.276 5.728
2.276 -2.276 5.728
2.276 2.276 -5.728
```

Calculated values
The value obtained for the magnetization is 0.0 Bohr magnetons per cell. The value obtained for the relative energy among the computed polymorphs is 0 meV/atom. As for the raw total energy: -9.45 eV/cell.

The following is a DFT calculation (PBE) of a relaxed structure of NaCd10Ga2. Values from VASP.

```
&SYSTEM
  ibrav = 0, nat = 13, ntyp = 3
/
ATOMIC_SPECIES
Na 22.99 Na.upf
Cd 112.41 Cd.upf
Ga 69.72 Ga.upf
ATOMIC_POSITIONS angstrom
Na 0.000 0.000 0.000
Cd 1.422 3.553 0.000
Cd 2.844 4.625 2.655
Cd 2.844 5.634 5.843
Cd 2.844 9.589 2.655
Cd 2.844 8.580 5.843
Cd 1.422 3.553 7.436
Cd 2.844 5.634 9.029
Cd 2.844 4.625 12.216
Cd 2.844 8.580 9.029
Cd 2.844 9.589 12.216
Ga 1.422 0.000 3.718
Ga 1.422 7.107 3.718
CELL_PARAMETERS angstrom
0.000 7.107 7.436
2.844 0.000 7.436
2.844 7.107 0.000
```

Calculated values
The value obtained for the magnetization is 0.0 Bohr magnetons per cell. As for the raw total energy: -16.57 eV/cell.

The following is a DFT calculation (PBE) of a relaxed structure of NaCd12Ga6. Values from VASP.

```
&SYSTEM
  ibrav = 0, nat = 19, ntyp = 3
/
ATOMIC_SPECIES
Na 22.99 Na.upf
Cd 112.41 Cd.upf
Ga 69.72 Ga.upf
ATOMIC_POSITIONS angstrom
Na 0.000 0.000 0.000
Cd -2.588 -4.483 4.397
Cd -5.177 0.000 4.397
Cd -1.529 -0.883 2.688
Cd 1.529 -0.883 2.688
Cd 0.000 1.765 2.688
Cd 2.588 -4.483 4.397
Cd -2.588 4.483 4.397
Cd 0.000 -1.765 6.106
Cd -1.529 0.883 6.106
Cd 1.529 0.883 6.106
Cd 5.177 0.000 4.397
Cd 2.588 4.483 4.397
Ga -2.945 -1.700 4.917
Ga 0.000 -3.401 3.877
Ga -2.945 1.700 3.877
Ga 2.945 -1.700 4.917
Ga 0.000 3.401 4.917
Ga 2.945 1.700 3.877
CELL_PARAMETERS angstrom
6.660 3.845 2.931
-6.660 3.845 2.931
0.000 -7.690 2.931
```

Calculated values
The value obtained for the magnetization is 0.0 Bohr magnetons per cell. As for the raw total energy: -29.18 eV/cell.

The following is a DFT calculation (PBE) of a relaxed structure of Na4Cd5Ga2. Values from VASP.

```
&SYSTEM
  ibrav = 0, nat = 11, ntyp = 3
/
ATOMIC_SPECIES
Na 22.99 Na.upf
Cd 112.41 Cd.upf
Ga 69.72 Ga.upf
ATOMIC_POSITIONS angstrom
Na 1.037 0.000 3.223
Na 0.562 0.000 8.169
Na 5.389 0.000 0.651
Na 4.913 0.000 5.597
Cd 0.290 2.283 5.611
Cd 3.144 2.283 1.460
Cd 2.975 2.283 4.410
Cd 2.807 2.283 7.360
Cd 5.661 2.283 3.209
Ga 0.383 2.283 1.207
Ga 5.567 2.283 7.614
CELL_PARAMETERS angstrom
7.142 0.000 0.000
0.000 4.566 0.000
-1.191 0.000 8.820
```

Calculated values
The value obtained for the magnetization is 0.0 Bohr magnetons per cell. The value obtained for the relative energy among the computed polymorphs is 29 meV/atom. As for the raw total energy: -16.37 eV/cell.

The following is a DFT calculation (PBE) of a relaxed structure of NaCd6Ga. Values from VASP.

```
&SYSTEM
  ibrav = 0, nat = 8, ntyp = 3
/
ATOMIC_SPECIES
Na 22.99 Na.upf
Cd 112.41 Cd.upf
Ga 69.72 Ga.upf
ATOMIC_POSITIONS angstrom
Na 0.000 0.000 0.000
Cd 0.000 2.219 2.369
Cd 0.000 2.219 6.858
Cd 2.219 0.000 2.369
Cd 2.219 0.000 6.858
Cd 2.219 2.219 0.000
Cd 2.219 2.219 4.614
Ga 0.000 0.000 4.614
CELL_PARAMETERS angstrom
4.439 0.000 0.000
0.000 4.439 0.000
0.000 0.000 9.227
```

Calculated values
The value obtained for the magnetization is 0.0 Bohr magnetons per cell. As for the raw total energy: -9.88 eV/cell.

The following is a DFT calculation (PBE) of a relaxed structure of Na3Cd3Ga8. Values from VASP.

```
&SYSTEM
  ibrav = 0, nat = 14, ntyp = 3
/
ATOMIC_SPECIES
Na 22.99 Na.upf
Cd 112.41 Cd.upf
Ga 69.72 Ga.upf
ATOMIC_POSITIONS angstrom
Na 0.000 0.000 0.000
Na 0.000 0.000 4.000
Na 0.000 0.000 9.120
Cd 2.154 3.129 0.000
Cd 0.000 5.248 0.000
Cd 0.000 2.119 6.560
Ga 2.154 -1.275 2.129
Ga 2.154 -2.411 4.512
Ga 2.154 1.275 2.129
Ga 0.000 2.837 2.047
Ga 2.154 2.411 4.512
Ga 0.000 3.974 4.431
Ga 0.000 7.659 2.047
Ga 0.000 6.523 4.431
CELL_PARAMETERS angstrom
-2.154 5.248 6.560
2.154 -5.248 6.560
2.154 5.248 -6.560
```

Calculated values
The value obtained for the magnetization is 0.0 Bohr magnetons per cell. As for the raw total energy: -32.48 eV/cell.

The following is a DFT calculation (PBE) of a relaxed structure of Na4CdGa. Values from VASP.

```
&SYSTEM
  ibrav = 0, nat = 12, ntyp = 3
/
ATOMIC_SPECIES
Na 22.99 Na.upf
Cd 112.41 Cd.upf
Ga 69.72 Ga.upf
ATOMIC_POSITIONS angstrom
Na 0.486 1.687 3.233
Na 2.798 3.467 0.000
Na 0.510 0.000 7.018
Na 0.486 -1.687 3.233
Na 3.309 1.687 8.588
Na 3.285 0.000 4.803
Na 2.798 -3.467 0.000
Na 3.309 -1.687 8.588
Cd 0.830 0.000 10.343
Cd 2.966 0.000 1.478
Ga 1.898 2.574 5.910
Ga 1.898 -2.574 5.910
CELL_PARAMETERS angstrom
2.798 -5.134 0.000
2.798 5.134 0.000
-1.801 0.000 11.821
```

Calculated values
The value obtained for the magnetization is 0.0 Bohr magnetons per cell. As for the raw total energy: -18.78 eV/cell.

The following is a DFT calculation (PBE) of a relaxed structure of NaCd2Ga2. Values from VASP.

```
&SYSTEM
  ibrav = 0, nat = 5, ntyp = 3
/
ATOMIC_SPECIES
Na 22.99 Na.upf
Cd 112.41 Cd.upf
Ga 69.72 Ga.upf
ATOMIC_POSITIONS angstrom
Na 0.000 0.000 0.000
Cd 0.000 0.000 5.424
Cd 0.000 0.000 8.234
Ga 2.052 0.000 3.415
Ga 0.000 2.052 3.415
CELL_PARAMETERS angstrom
-2.052 2.052 6.829
2.052 -2.052 6.829
2.052 2.052 -6.829
```

Calculated values
The value obtained for the magnetization is 0.0 Bohr magnetons per cell. The value obtained for the relative energy among the computed polymorphs is 23 meV/atom. As for the raw total energy: -9.34 eV/cell.

The following is a DFT calculation (PBE) of a relaxed structure of NaCd2Ga2. Values from VASP.

```
&SYSTEM
  ibrav = 0, nat = 10, ntyp = 3
/
ATOMIC_SPECIES
Na 22.99 Na.upf
Cd 112.41 Cd.upf
Ga 69.72 Ga.upf
ATOMIC_POSITIONS angstrom
Na 0.000 0.000 0.000
Na 4.283 4.283 0.000
Cd 1.178 3.105 0.000
Cd 3.105 7.388 0.000
Cd 5.462 1.178 0.000
Cd 7.388 5.462 0.000
Ga 1.371 5.654 1.559
Ga 2.913 1.371 1.559
Ga 5.654 7.196 1.559
Ga 7.196 2.913 1.559
CELL_PARAMETERS angstrom
8.567 0.000 0.000
0.000 8.567 0.000
0.000 0.000 3.118
```

Calculated values
The value obtained for the magnetization is 0.0 Bohr magnetons per cell. The value obtained for the relative energy among the computed polymorphs is 43 meV/atom. As for the raw total energy: -18.48 eV/cell.

The following is a DFT calculation (PBE) of a relaxed structure of Na2CdGa2. Values from VASP.

```
&SYSTEM
  ibrav = 0, nat = 10, ntyp = 3
/
ATOMIC_SPECIES
Na 22.99 Na.upf
Cd 112.41 Cd.upf
Ga 69.72 Ga.upf
ATOMIC_POSITIONS angstrom
Na 1.245 2.321 0.000
Na 2.321 5.888 0.000
Na 4.812 1.245 0.000
Na 5.888 4.812 0.000
Cd 0.000 0.000 2.412
Cd 3.566 3.566 2.412
Ga 0.905 4.471 2.412
Ga 2.662 0.905 2.412
Ga 4.471 6.228 2.412
Ga 6.228 2.662 2.412
CELL_PARAMETERS angstrom
7.133 0.000 0.000
0.000 7.133 0.000
0.000 0.000 4.823
```

Calculated values
The value obtained for the magnetization is 0.0 Bohr magnetons per cell. The value obtained for the relative energy among the computed polymorphs is 0 meV/atom. As for the raw total energy: -19.70 eV/cell.

The following is a DFT calculation (PBE) of a relaxed structure of Na2Cd5Ga. Values from VASP.

```
&SYSTEM
  ibrav = 0, nat = 8, ntyp = 3
/
ATOMIC_SPECIES
Na 22.99 Na.upf
Cd 112.41 Cd.upf
Ga 69.72 Ga.upf
ATOMIC_POSITIONS angstrom
Na 4.469 2.285 0.000
Na 4.469 -2.285 0.000
Cd 0.035 0.000 2.244
Cd -2.158 0.000 4.491
Cd 2.274 2.283 2.244
Cd 2.274 -2.283 2.244
Cd 2.313 0.000 4.488
Ga 4.513 0.000 2.244
CELL_PARAMETERS angstrom
4.469 -4.572 0.000
4.469 4.572 0.000
-4.391 0.000 4.491
```

Calculated values
The value obtained for the magnetization is 0.0 Bohr magnetons per cell. As for the raw total energy: -10.65 eV/cell.

The following is a DFT calculation (PBE) of a relaxed structure of NaCd6Ga6. Values from VASP.

```
&SYSTEM
  ibrav = 0, nat = 13, ntyp = 3
/
ATOMIC_SPECIES
Na 22.99 Na.upf
Cd 112.41 Cd.upf
Ga 69.72 Ga.upf
ATOMIC_POSITIONS angstrom
Na 0.000 0.000 0.000
Cd 2.792 1.809 0.000
Cd 0.000 3.379 0.000
Cd 0.000 0.000 3.639
Cd 0.000 0.000 6.645
Cd 0.000 6.485 0.000
Cd 0.000 3.123 5.142
Ga 1.396 2.466 -2.571
Ga 1.396 -2.466 2.571
Ga 2.792 0.000 2.345
Ga -1.396 2.466 2.571
Ga 1.396 2.466 2.571
Ga 0.000 4.932 2.797
CELL_PARAMETERS angstrom
-2.792 4.932 5.142
2.792 -4.932 5.142
2.792 4.932 -5.142
```

Calculated values
The value obtained for the magnetization is 0.0 Bohr magnetons per cell. As for the raw total energy: -24.95 eV/cell.

ΔE_f values (in kJ/mol of formula units) by entry order: -18, 21, 50, -95, -31, -113, -75, -54, -41, -24, -4, 124, -45, -4, -151, -17, -13, -4, -23, -39, 2.